1.
# RbSbTe2Se

A relaxed structure of RbSbTe2Se (GGA-PBE, the Alexandria database).

Magnetic moment ... 1.313 μB per cell
DOS at the Fermi energy ... 0.518 states/eV per atom
ΔE_f (raw) ... 0.7 kJ per mole of atoms
SG ... No. 123
Raw total energy ... -14.82 eV per cell
Energy above the most stable polymorph in this dataset ... 0 meV per atom

a b c (Å): 5.713 5.713 5.587
angles (deg): 90.00 90.00 90.00
Sites, in units of the cell vectors:
1 Rb 0.000 0.000 0.000
2 Sb 0.500 0.500 0.000
3 Te 0.000 0.500 0.500
4 Te 0.500 0.000 0.500
5 Se 0.500 0.500 0.500

***

2.
# Rb2ThSbSe5

A relaxed structure of Rb2ThSbSe5 (GGA-PBE, the Alexandria database).

Magnetic moment ... 0.000 μB per cell
DOS at the Fermi energy ... 0.154 states/eV per atom
ΔE_f (raw) ... -102.0 kJ per mole of atoms
SG ... No. 36
Raw total energy ... -80.82 eV per cell

a b c (Å): 10.278 10.278 14.600
angles (deg): 90.00 90.00 154.09
Sites, in units of the cell vectors:
1 Rb 0.122 0.878 0.500
2 Rb 0.128 0.872 0.157
3 Rb 0.872 0.128 0.657
4 Rb 0.878 0.122 0.000
5 Th 0.205 0.795 0.860
6 Th 0.795 0.205 0.360
7 Sb 0.444 0.556 0.252
8 Sb 0.556 0.444 0.752
9 Se 0.046 0.954 0.844
10 Se 0.306 0.694 0.479
11 Se 0.315 0.685 0.218
12 Se 0.338 0.662 0.829
13 Se 0.498 0.502 0.100
14 Se 0.502 0.498 0.600
15 Se 0.662 0.338 0.329
16 Se 0.685 0.315 0.718
17 Se 0.694 0.306 0.979
18 Se 0.954 0.046 0.344

***

3.
# RbTiSbSe4

A relaxed structure of RbTiSbSe4 (GGA-PBE, the Alexandria database).

Magnetic moment ... 0.000 μB per cell
ΔE_f (raw) ... -78.4 kJ per mole of atoms
SG ... No. 11
Raw total energy ... -65.23 eV per cell

a b c (Å): 6.855 7.519 9.562
angles (deg): 90.00 108.80 90.00
Sites, in units of the cell vectors:
1 Rb 0.224 0.250 0.419
2 Rb 0.776 0.750 0.581
3 Ti 0.300 0.750 0.185
4 Ti 0.700 0.250 0.815
5 Sb 0.243 0.250 0.887
6 Sb 0.757 0.750 0.113
7 Se 0.059 0.750 0.949
8 Se 0.094 0.750 0.353
9 Se 0.464 0.003 0.785
10 Se 0.464 0.497 0.785
11 Se 0.536 0.503 0.215
12 Se 0.536 0.997 0.215
13 Se 0.906 0.250 0.647
14 Se 0.941 0.250 0.051

***

4.
# RbTiSbSe2

A relaxed structure of RbTiSbSe2 (GGA-PBE, the Alexandria database).

Magnetic moment ... 2.750 μB per cell
DOS at the Fermi energy ... 1.375 states/eV per atom
ΔE_f (raw) ... 69.2 kJ per mole of atoms
SG ... No. 123
Raw total energy ... -16.37 eV per cell

a b c (Å): 5.562 5.562 6.063
angles (deg): 90.00 90.00 90.00
Sites, in units of the cell vectors:
1 Rb 0.000 0.000 0.000
2 Ti 0.500 0.500 0.000
3 Sb 0.000 0.000 0.500
4 Se 0.000 0.500 0.500
5 Se 0.500 0.000 0.500

***

5.
# RbTlSbSe3

A relaxed structure of RbTlSbSe3 (GGA-PBE, the Alexandria database).

Magnetic moment ... 0.002 μB per cell
DOS at the Fermi energy ... 0.804 states/eV per atom
ΔE_f (raw) ... -44.7 kJ per mole of atoms
SG ... No. 11
Raw total energy ... -41.38 eV per cell

a b c (Å): 8.504 4.370 11.445
angles (deg): 90.00 109.86 90.00
Sites, in units of the cell vectors:
1 Rb 0.226 0.250 0.218
2 Rb 0.774 0.750 0.782
3 Tl 0.389 0.250 0.869
4 Tl 0.611 0.750 0.131
5 Sb 0.198 0.750 0.605
6 Sb 0.802 0.250 0.395
7 Se 0.038 0.750 0.368
8 Se 0.245 0.750 0.966
9 Se 0.417 0.250 0.604
10 Se 0.583 0.750 0.396
11 Se 0.755 0.250 0.034
12 Se 0.962 0.250 0.632

***

6.
# Rb2TmSbSe4

A relaxed structure of Rb2TmSbSe4 (GGA-PBE, the Alexandria database).

Magnetic moment ... 0.000 μB per cell
ΔE_f (raw) ... -111.0 kJ per mole of atoms
SG ... No. 74
Raw total energy ... -67.35 eV per cell

a b c (Å): 8.862 8.862 8.862
angles (deg): 120.83 119.17 90.01
Sites, in units of the cell vectors:
1 Rb 0.000 0.000 0.000
2 Rb 0.500 0.000 0.000
3 Rb 0.500 0.000 0.500
4 Rb 0.500 0.500 0.500
5 Tm 0.000 0.000 0.500
6 Tm 0.000 0.500 0.000
7 Sb 0.000 0.500 0.500
8 Sb 0.500 0.500 0.000
9 Se 0.196 0.734 0.462
10 Se 0.227 0.266 0.962
11 Se 0.230 0.260 0.530
12 Se 0.230 0.700 0.970
13 Se 0.770 0.300 0.030
14 Se 0.770 0.740 0.470
15 Se 0.773 0.734 0.038
16 Se 0.804 0.266 0.538

***

7.
# Rb2USbSe6

A relaxed structure of Rb2USbSe6 (GGA-PBE, the Alexandria database).

Magnetic moment ... 0.000 μB per cell
DOS at the Fermi energy ... 0.584 states/eV per atom
ΔE_f (raw) ... -75.9 kJ per mole of atoms
SG ... No. 225
Raw total energy ... -46.12 eV per cell

a b c (Å): 7.753 7.753 7.753
angles (deg): 60.00 60.00 60.00
Sites, in units of the cell vectors:
1 Rb 0.250 0.250 0.250
2 Rb 0.750 0.750 0.750
3 U 0.000 0.000 0.000
4 Sb 0.500 0.500 0.500
5 Se 0.244 0.244 0.756
6 Se 0.244 0.756 0.244
7 Se 0.244 0.756 0.756
8 Se 0.756 0.244 0.244
9 Se 0.756 0.244 0.756
10 Se 0.756 0.756 0.244

***

8.
# Rb2U2SbSe6

A relaxed structure of Rb2U2SbSe6 (GGA-PBE, the Alexandria database).

Magnetic moment ... 5.000 μB per cell
DOS at the Fermi energy ... 1.078 states/eV per atom
ΔE_f (raw) ... -99.8 kJ per mole of atoms
SG ... No. 12
Raw total energy ... -60.92 eV per cell

a b c (Å): 7.300 7.300 8.524
angles (deg): 98.01 98.01 119.98
Sites, in units of the cell vectors:
1 Rb 0.165 0.835 0.000
2 Rb 0.835 0.165 0.000
3 U 0.334 0.666 0.500
4 U 0.666 0.334 0.500
5 Sb 0.000 0.000 0.500
6 Se 0.062 0.399 0.692
7 Se 0.273 0.273 0.308
8 Se 0.399 0.062 0.692
9 Se 0.601 0.938 0.308
10 Se 0.727 0.727 0.692
11 Se 0.938 0.601 0.308

***

9.
# Rb3USb2Se6

A relaxed structure of Rb3USb2Se6 (GGA-PBE, the Alexandria database).

Magnetic moment ... 2.925 μB per cell
DOS at the Fermi energy ... 0.513 states/eV per atom
ΔE_f (raw) ... -81.8 kJ per mole of atoms
SG ... No. 12
Raw total energy ... -53.52 eV per cell

a b c (Å): 7.527 7.527 8.296
angles (deg): 98.68 98.68 119.97
Sites, in units of the cell vectors:
1 Rb 0.000 0.000 0.000
2 Rb 0.331 0.669 0.000
3 Rb 0.669 0.331 0.000
4 U 0.500 0.500 0.500
5 Sb 0.166 0.834 0.500
6 Sb 0.834 0.166 0.500
7 Se 0.104 0.435 0.305
8 Se 0.235 0.235 0.696
9 Se 0.435 0.104 0.305
10 Se 0.565 0.896 0.695
11 Se 0.765 0.765 0.304
12 Se 0.896 0.565 0.695

***

10.
# RbSbWSe2

A relaxed structure of RbSbWSe2 (GGA-PBE, the Alexandria database).

Magnetic moment ... 4.103 μB per cell
DOS at the Fermi energy ... 1.037 states/eV per atom
ΔE_f (raw) ... 74.1 kJ per mole of atoms
SG ... No. 123
Raw total energy ... -21.17 eV per cell

a b c (Å): 5.649 5.649 5.306
angles (deg): 90.00 90.00 90.00
Sites, in units of the cell vectors:
1 Rb 0.000 0.000 0.000
2 Sb 0.500 0.500 0.500
3 W 0.500 0.500 0.000
4 Se 0.000 0.500 0.500
5 Se 0.500 0.000 0.500

***

11.
# Rb3YSb2Se6

A relaxed structure of Rb3YSb2Se6 (GGA-PBE, the Alexandria database).

Magnetic moment ... 0.000 μB per cell
ΔE_f (raw) ... -99.8 kJ per mole of atoms
SG ... No. 12
Raw total energy ... -50.93 eV per cell

a b c (Å): 7.406 7.406 8.350
angles (deg): 98.50 98.50 119.99
Sites, in units of the cell vectors:
1 Rb 0.000 0.000 0.000
2 Rb 0.332 0.668 0.000
3 Rb 0.668 0.332 0.000
4 Y 0.500 0.500 0.500
5 Sb 0.166 0.834 0.500
6 Sb 0.834 0.166 0.500
7 Se 0.103 0.435 0.304
8 Se 0.234 0.234 0.696
9 Se 0.435 0.103 0.304
10 Se 0.565 0.897 0.696
11 Se 0.766 0.766 0.304
12 Se 0.897 0.565 0.696

***

12.
# Rb3Y3SbSe8

A relaxed structure of Rb3Y3SbSe8 (GGA-PBE, the Alexandria database).

Magnetic moment ... 0.000 μB per cell
DOS at the Fermi energy ... 0.146 states/eV per atom
ΔE_f (raw) ... -138.0 kJ per mole of atoms
SG ... No. 166
Raw total energy ... -75.75 eV per cell

a b c (Å): 9.476 9.476 9.476
angles (deg): 52.34 52.34 52.34
Sites, in units of the cell vectors:
1 Rb 0.000 0.500 0.500
2 Rb 0.500 0.000 0.500
3 Rb 0.500 0.500 0.000
4 Y 0.000 0.000 0.500
5 Y 0.000 0.500 0.000
6 Y 0.500 0.000 0.000
7 Sb 0.500 0.500 0.500
8 Se 0.232 0.232 0.232
9 Se 0.238 0.727 0.727
10 Se 0.273 0.273 0.762
11 Se 0.273 0.762 0.273
12 Se 0.727 0.238 0.727
13 Se 0.727 0.727 0.238
14 Se 0.762 0.273 0.273
15 Se 0.768 0.768 0.768

***

13.
# Rb2YSbSe4

A relaxed structure of Rb2YSbSe4 (GGA-PBE, the Alexandria database).

Magnetic moment ... 0.000 μB per cell
ΔE_f (raw) ... -112.6 kJ per mole of atoms
SG ... No. 74
Raw total energy ... -71.59 eV per cell

a b c (Å): 8.900 8.900 8.900
angles (deg): 120.54 119.46 90.00
Sites, in units of the cell vectors:
1 Rb 0.000 0.000 0.000
2 Rb 0.500 0.000 0.000
3 Rb 0.500 0.000 0.500
4 Rb 0.500 0.500 0.500
5 Y 0.000 0.000 0.500
6 Y 0.000 0.500 0.000
7 Sb 0.000 0.500 0.500
8 Sb 0.500 0.500 0.000
9 Se 0.199 0.734 0.465
10 Se 0.231 0.266 0.965
11 Se 0.232 0.263 0.531
12 Se 0.232 0.700 0.969
13 Se 0.768 0.300 0.031
14 Se 0.768 0.737 0.469
15 Se 0.769 0.734 0.035
16 Se 0.801 0.266 0.535

***

14.
# RbZnSbSe3

A relaxed structure of RbZnSbSe3 (GGA-PBE, the Alexandria database).

Magnetic moment ... 0.000 μB per cell
ΔE_f (raw) ... -67.7 kJ per mole of atoms
SG ... No. 11
Raw total energy ... -42.06 eV per cell

a b c (Å): 9.693 4.172 10.008
angles (deg): 90.00 106.27 90.00
Sites, in units of the cell vectors:
1 Rb 0.184 0.250 0.230
2 Rb 0.816 0.750 0.770
3 Zn 0.087 0.250 0.605
4 Zn 0.913 0.750 0.395
5 Sb 0.343 0.750 0.865
6 Sb 0.657 0.250 0.135
7 Se 0.139 0.250 0.863
8 Se 0.182 0.750 0.517
9 Se 0.439 0.750 0.140
10 Se 0.561 0.250 0.860
11 Se 0.818 0.250 0.483
12 Se 0.861 0.750 0.137

***

15.
# Rb2ZrSbSe4

A relaxed structure of Rb2ZrSbSe4 (GGA-PBE, the Alexandria database).

Magnetic moment ... 1.020 μB per cell
DOS at the Fermi energy ... 0.151 states/eV per atom
ΔE_f (raw) ... -89.0 kJ per mole of atoms
SG ... No. 82
Raw total energy ... -35.92 eV per cell

a b c (Å): 7.262 7.262 7.262
angles (deg): 110.53 110.53 107.37
Sites, in units of the cell vectors:
1 Rb 0.000 0.000 0.000
2 Rb 0.750 0.250 0.500
3 Zr 0.500 0.500 0.000
4 Sb 0.250 0.750 0.500
5 Se 0.180 0.542 0.050
6 Se 0.458 0.508 0.639
7 Se 0.492 0.130 0.950
8 Se 0.870 0.820 0.361

***

16.
# Rb2ZrSb2Se6

A relaxed structure of Rb2ZrSb2Se6 (GGA-PBE, the Alexandria database).

Magnetic moment ... 0.000 μB per cell
DOS at the Fermi energy ... 0.025 states/eV per atom
ΔE_f (raw) ... -72.9 kJ per mole of atoms
SG ... No. 12
Raw total energy ... -47.94 eV per cell

a b c (Å): 6.861 6.861 8.807
angles (deg): 104.67 104.67 67.97
Sites, in units of the cell vectors:
1 Rb 0.186 0.186 0.112
2 Rb 0.814 0.814 0.888
3 Zr 0.000 0.000 0.500
4 Sb 0.408 0.408 0.772
5 Sb 0.592 0.592 0.228
6 Se 0.189 0.714 0.252
7 Se 0.236 0.236 0.508
8 Se 0.286 0.811 0.748
9 Se 0.714 0.189 0.252
10 Se 0.764 0.764 0.492
11 Se 0.811 0.286 0.748

***

17.
# Rb3SiSb

A relaxed structure of Rb3SiSb (GGA-PBE, the Alexandria database).

Magnetic moment ... 3.749 μB per cell
DOS at the Fermi energy ... 1.221 states/eV per atom
ΔE_f (raw) ... 43.1 kJ per mole of atoms
SG ... No. 221
Raw total energy ... -10.21 eV per cell
Energy above the most stable polymorph in this dataset ... 0 meV per atom

a b c (Å): 6.996 6.996 6.996
angles (deg): 90.00 90.00 90.00
Sites, in units of the cell vectors:
1 Rb 0.000 0.000 0.500
2 Rb 0.000 0.500 0.000
3 Rb 0.500 0.000 0.000
4 Si 0.500 0.500 0.500
5 Sb 0.000 0.000 0.000

***

18.
# RbSi2Sb2

A relaxed structure of RbSi2Sb2 (GGA-PBE, the Alexandria database).

Magnetic moment ... 0.000 μB per cell
DOS at the Fermi energy ... 0.512 states/eV per atom
ΔE_f (raw) ... 15.2 kJ per mole of atoms
SG ... No. 139
Raw total energy ... -19.27 eV per cell
Energy above the most stable polymorph in this dataset ... 77 meV per atom

a b c (Å): 6.060 6.060 6.060
angles (deg): 127.60 127.60 77.27
Sites, in units of the cell vectors:
1 Rb 0.000 0.000 0.000
2 Si 0.365 0.365 0.000
3 Si 0.635 0.635 0.000
4 Sb 0.250 0.750 0.500
5 Sb 0.750 0.250 0.500

***

19.
# Rb6SiSb4

A relaxed structure of Rb6SiSb4 (GGA-PBE, the Alexandria database).

Magnetic moment ... 4.269 μB per cell
DOS at the Fermi energy ... 0.898 states/eV per atom
ΔE_f (raw) ... -27.2 kJ per mole of atoms
SG ... No. 186
Raw total energy ... -61.63 eV per cell

a b c (Å): 11.552 11.552 8.835
angles (deg): 90.00 90.00 120.00
Sites, in units of the cell vectors:
1 Rb 0.051 0.525 0.000
2 Rb 0.145 0.291 0.699
3 Rb 0.145 0.855 0.699
4 Rb 0.291 0.145 0.199
5 Rb 0.475 0.525 0.000
6 Rb 0.475 0.949 0.000
7 Rb 0.525 0.051 0.500
8 Rb 0.525 0.475 0.500
9 Rb 0.709 0.855 0.699
10 Rb 0.855 0.145 0.199
11 Rb 0.855 0.709 0.199
12 Rb 0.949 0.475 0.500
13 Si 0.333 0.667 0.372
14 Si 0.667 0.333 0.872
15 Sb 0.206 0.411 0.298
16 Sb 0.206 0.794 0.298
17 Sb 0.333 0.667 0.667
18 Sb 0.411 0.206 0.798
19 Sb 0.589 0.794 0.298
20 Sb 0.667 0.333 0.167
21 Sb 0.794 0.206 0.798
22 Sb 0.794 0.589 0.798

***

20.
# RbSi2Sb2

A relaxed structure of RbSi2Sb2 (GGA-PBE, the Alexandria database).

Magnetic moment ... 0.000 μB per cell
DOS at the Fermi energy ... 0.374 states/eV per atom
ΔE_f (raw) ... 7.8 kJ per mole of atoms
SG ... No. 139
Raw total energy ... -19.65 eV per cell
Energy above the most stable polymorph in this dataset ... 0 meV per atom

a b c (Å): 7.459 7.459 7.459
angles (deg): 141.44 141.44 55.68
Sites, in units of the cell vectors:
1 Rb 0.000 0.000 0.000
2 Si 0.250 0.750 0.500
3 Si 0.750 0.250 0.500
4 Sb 0.341 0.341 0.000
5 Sb 0.659 0.659 0.000

***

21.
# RbSiSb2

A relaxed structure of RbSiSb2 (GGA-PBE, the Alexandria database).

Magnetic moment ... 0.000 μB per cell
DOS at the Fermi energy ... 0.697 states/eV per atom
ΔE_f (raw) ... 1.0 kJ per mole of atoms
SG ... No. 122
Raw total energy ... -29.19 eV per cell

a b c (Å): 7.110 7.110 7.110
angles (deg): 108.66 108.66 111.12
Sites, in units of the cell vectors:
1 Rb 0.000 0.000 0.000
2 Rb 0.750 0.250 0.500
3 Si 0.250 0.750 0.500
4 Si 0.500 0.500 0.000
5 Sb 0.221 0.625 0.096
6 Sb 0.375 0.471 0.596
7 Sb 0.529 0.125 0.904
8 Sb 0.875 0.779 0.404

***

22.
# RbSi3Sb

A relaxed structure of RbSi3Sb (GGA-PBE, the Alexandria database).

Magnetic moment ... 0.232 μB per cell
DOS at the Fermi energy ... 1.382 states/eV per atom
ΔE_f (raw) ... 210.2 kJ per mole of atoms
SG ... No. 221
Raw total energy ... -10.47 eV per cell
Energy above the most stable polymorph in this dataset ... 1205 meV per atom

a b c (Å): 5.465 5.465 5.465
angles (deg): 90.00 90.00 90.00
Sites, in units of the cell vectors:
1 Rb 0.000 0.000 0.000
2 Si 0.000 0.000 0.500
3 Si 0.000 0.500 0.000
4 Si 0.500 0.000 0.000
5 Sb 0.500 0.500 0.500